1 | {
  "formula": "CaErRh2",
  "functional": "GGA-PBE",
  "state": "relaxed",
  "lattice": [[4.8031, 0.0000, 0.0000], [2.4016, 4.1596, 0.0000], [2.4016, 1.3865, 3.9217]],
  "species": ["Ca", "Rh", "Er", "Rh"],
  "frac_coords": [[0.5000, 0.5000, 0.5000], [0.7500, 0.7500, 0.7500], [0.0000, 0.0000, 0.0000], [0.2500, 0.2500, 0.2500]],
  "m_tot_mub_per_fu": 0.00
}

***

2 | {
  "formula": "CaErRh2",
  "functional": "GGA-PBE",
  "state": "relaxed",
  "lattice": [[3.3976, 0.0000, 0.0000], [0.0000, 3.3976, 0.0000], [0.0000, 0.0000, 6.8935]],
  "species": ["Rh", "Ca", "Er", "Rh"],
  "frac_coords": [[0.0000, 0.0000, 0.7691], [0.5000, 0.5000, 0.5000], [0.5000, 0.5000, 0.0000], [0.0000, 0.0000, 0.2309]],
  "m_tot_mub_per_fu": 0.00
}

***

Here are the energies relative to the best structure, in meV per atom: 1 35; 2 0.

***

1 | {
  "formula": "CaEr3Ru2",
  "functional": "GGA-PBE",
  "state": "relaxed",
  "lattice": [[-3.3391, 1.8684, 0.5259], [-1.8889, -4.6875, 4.6603], [3.4495, 5.6102, 1.9708]],
  "species": ["Ru", "Er", "Er", "Ca", "Er", "Ru"],
  "frac_coords": [[0.0000, 0.3333, 0.6667], [0.5000, 0.5000, 0.5000], [0.5000, 0.5000, 0.0000], [0.0000, 0.0000, 0.0000], [0.5000, 0.0000, 0.5000], [0.0000, 0.6667, 0.3333]],
  "m_tot_mub_per_fu": 0.00
}

***

2 | {
  "formula": "CaEr3Ru2",
  "functional": "GGA-PBE",
  "state": "relaxed",
  "lattice": [[-1.4589, -1.4143, -2.7501], [-2.1420, -1.7311, 2.0266], [-8.2086, 9.5219, -0.5425]],
  "species": ["Ru", "Er", "Ru", "Ca", "Er", "Er"],
  "frac_coords": [[0.5000, 0.5000, 0.8598], [0.0000, 0.0000, 0.0000], [0.5000, 0.5000, 0.1402], [0.5000, 0.5000, 0.5000], [0.0000, 0.0000, 0.7390], [0.0000, 0.0000, 0.2610]],
  "m_tot_mub_per_fu": 0.00
}

***

Here are the energies relative to the best structure, in meV per atom: 1 169; 2 0.

***

1 | {
  "formula": "CaErSb2",
  "functional": "GGA-PBE",
  "state": "relaxed",
  "lattice": [[-0.4398, 2.1264, -4.0253], [2.0794, -1.6780, -3.7119], [-5.1363, -3.7313, -4.0083]],
  "species": ["Ca", "Sb", "Sb", "Er"],
  "frac_coords": [[0.6697, 0.6697, 0.9908], [0.0879, 0.0879, 0.7362], [0.2459, 0.2459, 0.2623], [0.4964, 0.4964, 0.5107]],
  "m_tot_mub_per_fu": 0.00
}

***

2 | {
  "formula": "CaErSb2",
  "functional": "GGA-PBE",
  "state": "relaxed",
  "lattice": [[-0.4831, -0.4672, -4.2757], [-2.2040, -3.3767, -1.5726], [-7.3309, 2.7873, -1.6669]],
  "species": ["Sb", "Sb", "Ca", "Er"],
  "frac_coords": [[0.7455, 0.7455, 0.7636], [0.2545, 0.2545, 0.2364], [0.5000, 0.5000, 0.5000], [0.0000, 0.0000, 0.0000]],
  "m_tot_mub_per_fu": 0.00
}

***

Here are the energies relative to the best structure, in meV per atom: 1 79; 2 0.

***

1 | {
  "formula": "Ca2SmEr",
  "functional": "GGA-PBE",
  "state": "relaxed",
  "lattice": [[5.5755, 0.0000, 0.0000], [0.0000, 5.0612, 0.0000], [0.0000, 0.0000, 5.0612]],
  "species": ["Ca", "Ca", "Sm", "Er"],
  "frac_coords": [[0.0000, 0.5000, 0.0000], [0.0000, 0.0000, 0.5000], [0.5000, 0.0000, 0.0000], [0.5000, 0.5000, 0.5000]],
  "m_tot_mub_per_fu": 0.01
}

***

2 | {
  "formula": "Ca2SmEr",
  "functional": "GGA-PBE",
  "state": "relaxed",
  "lattice": [[-3.9306, 1.0252, -0.7798], [-0.9328, -3.9924, -0.5473], [-1.7900, -0.6937, 8.1112]],
  "species": ["Sm", "Ca", "Er", "Ca"],
  "frac_coords": [[0.5000, 0.5000, 0.5000], [0.0000, 0.0000, 0.7552], [0.5000, 0.5000, 0.0000], [0.0000, 0.0000, 0.2448]],
  "m_tot_mub_per_fu": 0.00
}

***

Here are the energies relative to the best structure, in meV per atom: 1 0; 2 5.

***

1 | {
  "formula": "Ca2SmEr",
  "functional": "GGA-PBE",
  "state": "relaxed",
  "lattice": [[3.5780, 0.0000, 0.0000], [1.7890, 3.0987, 0.0000], [1.7890, 1.0329, 13.1066]],
  "species": ["Ca", "Ca", "Er", "Sm"],
  "frac_coords": [[0.9132, 0.9132, 0.2605], [0.0868, 0.0868, 0.7395], [0.0000, 0.0000, 0.0000], [0.5000, 0.5000, 0.5000]],
  "m_tot_mub_per_fu": 0.57
}

***

2 | {
  "formula": "Ca2SmEr",
  "functional": "GGA-PBE",
  "state": "relaxed",
  "lattice": [[3.5754, -0.4888, 0.6800], [0.5487, 6.1038, 1.6143], [-0.7506, 4.6883, 7.4185]],
  "species": ["Ca", "Er", "Ca", "Sm"],
  "frac_coords": [[0.6733, 0.4408, 0.6848], [0.6763, 0.2732, 0.1846], [0.1734, 0.9388, 0.6847], [0.1759, 0.7732, 0.1847]],
  "m_tot_mub_per_fu": 0.29
}

***

3 | {
  "formula": "Ca2SmEr",
  "functional": "GGA-PBE",
  "state": "relaxed",
  "lattice": [[-0.0750, -2.9597, 5.0571], [4.0542, -4.0969, 1.0576], [4.1562, 0.9592, 4.0182]],
  "species": ["Ca", "Er", "Sm", "Ca"],
  "frac_coords": [[0.7500, 0.7500, 0.7500], [0.5000, 0.5000, 0.5000], [0.0000, 0.0000, 0.0000], [0.2500, 0.2500, 0.2500]],
  "m_tot_mub_per_fu": 0.00
}

***

Here are the energies relative to the best structure, in meV per atom: 1 132; 2 0; 3 49.

***

1 | {
  "formula": "Ca2TbEr",
  "functional": "GGA-PBE",
  "state": "relaxed",
  "lattice": [[-2.0183, -2.8169, -0.8336], [1.5102, -2.9462, -1.3201], [1.3263, -6.5689, 11.3663]],
  "species": ["Tb", "Ca", "Ca", "Er"],
  "frac_coords": [[0.5000, 0.5000, 0.5000], [0.9126, 0.9126, 0.2621], [0.0874, 0.0874, 0.7379], [0.0000, 0.0000, 0.0000]],
  "m_tot_mub_per_fu": 0.60
}

***

2 | {
  "formula": "Ca2TbEr",
  "functional": "GGA-PBE",
  "state": "relaxed",
  "lattice": [[4.1225, 0.0000, 0.0000], [0.0000, 4.1225, 0.0000], [0.0000, 0.0000, 8.2600]],
  "species": ["Ca", "Er", "Ca", "Tb"],
  "frac_coords": [[0.0000, 0.0000, 0.7477], [0.5000, 0.5000, 0.5000], [0.0000, 0.0000, 0.2523], [0.5000, 0.5000, 0.0000]],
  "m_tot_mub_per_fu": 0.00
}

***

3 | {
  "formula": "Ca2TbEr",
  "functional": "GGA-PBE",
  "state": "relaxed",
  "lattice": [[5.5387, 0.0000, 0.0000], [0.0000, 5.0440, 0.0000], [0.0000, 0.0000, 5.0440]],
  "species": ["Ca", "Er", "Tb", "Ca"],
  "frac_coords": [[0.0000, 0.0000, 0.5000], [0.5000, 0.0000, 0.0000], [0.5000, 0.5000, 0.5000], [0.0000, 0.5000, 0.0000]],
  "m_tot_mub_per_fu": 0.03
}

***

Here are the energies relative to the best structure, in meV per atom: 1 80; 2 7; 3 0.

***

1 | {
  "formula": "CaErTe2",
  "functional": "GGA-PBE",
  "state": "relaxed",
  "lattice": [[-2.7167, 2.8843, -1.8540], [-4.3272, -0.5777, 0.2811], [-2.4625, 4.6347, 5.6575]],
  "species": ["Te", "Er", "Ca", "Te"],
  "frac_coords": [[0.2526, 0.2526, 0.2421], [0.0000, 0.0000, 0.0000], [0.5000, 0.5000, 0.5000], [0.7474, 0.7474, 0.7579]],
  "m_tot_mub_per_fu": 0.00
}

***

2 | {
  "formula": "CaErTe2",
  "functional": "GGA-PBE",
  "state": "relaxed",
  "lattice": [[-2.3259, -7.0382, -1.9393], [5.6081, -0.5099, 5.1006], [-7.5437, 3.9322, 4.9252]],
  "species": ["Ca", "Ca", "Er", "Er", "Te", "Te", "Te", "Te", "Te", "Te", "Ca", "Te", "Er", "Te", "Er", "Ca"],
  "frac_coords": [[0.3137, 0.0637, 0.6275], [0.4389, 0.6889, 0.8778], [0.0643, 0.8143, 0.1287], [0.9357, 0.1857, 0.8713], [0.8230, 0.0683, 0.1248], [0.9396, 0.6851, 0.3748], [0.4352, 0.1897, 0.3748], [0.3018, 0.5565, 0.1248], [0.0604, 0.3149, 0.6252], [0.5648, 0.8103, 0.6252], [0.5611, 0.3111, 0.1222], [0.1770, 0.9317, 0.8752], [0.1892, 0.4392, 0.3783], [0.6982, 0.4435, 0.8752], [0.8108, 0.5608, 0.6217], [0.6863, 0.9363, 0.3725]],
  "m_tot_mub_per_fu": 0.00
}

***

Here are the energies relative to the best structure, in meV per atom: 1 0; 2 6.

***

1 | {
  "formula": "CaErTe2",
  "functional": "GGA-PBE",
  "state": "relaxed",
  "lattice": [[-4.3815, -0.6973, -1.0426], [-1.1232, -3.0268, -3.2168], [-2.3017, -7.8529, 4.9642]],
  "species": ["Te", "Ca", "Er", "Te"],
  "frac_coords": [[0.8973, 0.8973, 0.3082], [0.5000, 0.5000, 0.5000], [0.0000, 0.0000, 0.0000], [0.1027, 0.1027, 0.6918]],
  "m_tot_mub_per_fu": 0.00
}

***

2 | {
  "formula": "CaErTe2",
  "functional": "GGA-PBE",
  "state": "relaxed",
  "lattice": [[4.2934, 0.0000, 0.0000], [2.1467, 3.7182, 0.0000], [2.1467, 1.2394, 7.6902]],
  "species": ["Ca", "Te", "Te", "Er"],
  "frac_coords": [[0.4967, 0.4967, 0.5100], [0.0794, 0.0794, 0.7618], [0.2548, 0.2548, 0.2356], [0.6691, 0.6691, 0.9926]],
  "m_tot_mub_per_fu": 0.00
}

***

Here are the energies relative to the best structure, in meV per atom: 1 577; 2 0.